1.
A plane-wave DFT calculation with PBE-GGA was carried out for a geometry-optimized LiSb2ICl structure.

Unit cell a=5.1332 b=5.1332 c=5.1987 alpha=90.00 beta=90.00 gamma=90.00
Last column: nearest neighbours and their distance in Å.
Space group P4/mmm (No. 123)
Inequivalent atoms, fractional coordinates:
1 Li 0.0000 0.0000 0.0000  4 Sb 2.57, 2 I 2.60
2 Sb 0.0000 0.5000 0.0000  2 Li 2.57
3 I 0.0000 0.0000 0.5000  2 Li 2.60
4 Cl 0.5000 0.5000 0.5000  4 I 3.63, 8 Sb 3.65

Summary:
Calculated total energy (eV/atom): -2.563
Theoretical density (g/cm3): 5.00
M_tot (μB per formula unit): 0.000
Energy relative to the lowest polymorph listed for this composition (kJ per mole of atoms): 0.00
Calculated volume (Å³/cell): 137



2.
A plane-wave DFT calculation with PBE-GGA was carried out for a geometry-optimized LiTa2ICl structure.

Unit cell a=5.1312 b=5.1312 c=5.3419 alpha=90.00 beta=90.00 gamma=90.00
Last column: nearest neighbours and their distance in Å.
Space group P4/mmm (No. 123)
Inequivalent atoms, fractional coordinates:
1 Li 0.0000 0.0000 0.0000  2 I 2.67
2 Ta 0.0000 0.5000 0.5000  2 I 2.57
3 I 0.0000 0.0000 0.5000  4 Ta 2.57, 2 Li 2.67
4 Cl 0.5000 0.5000 0.0000  4 Li 3.63, 8 Ta 3.70

Summary:
Calculated total energy (eV/atom): -4.147
Theoretical density (g/cm3): 6.27
M_tot (μB per formula unit): 2.367
Calculated volume (Å³/cell): 141



3.
A plane-wave DFT calculation with PBE-GGA was carried out for a geometry-optimized LiTeI2Cl structure.

Unit cell a=5.8647 b=5.8647 c=5.4559 alpha=90.00 beta=90.00 gamma=90.00
Last column: nearest neighbours and their distance in Å.
Space group P4/mmm (No. 123)
Inequivalent atoms, fractional coordinates:
1 Li 0.0000 0.0000 0.0000  8 I 4.01, 4 Te 4.15
2 Te 0.5000 0.5000 0.0000  2 Cl 2.73
3 I 0.0000 0.5000 0.5000  2 Cl 2.93
4 Cl 0.5000 0.5000 0.5000  2 Te 2.73, 4 I 2.93

Summary:
Calculated total energy (eV/atom): -1.856
Theoretical density (g/cm3): 3.75
M_tot (μB per formula unit): 0.000
Energy relative to the lowest polymorph listed for this composition (kJ per mole of atoms): 9.17
Calculated volume (Å³/cell): 188



4.
A plane-wave DFT calculation with PBE-GGA was carried out for a geometry-optimized LiTeI2Cl structure.

Unit cell a=5.2270 b=5.2270 c=5.4213 alpha=90.00 beta=90.00 gamma=90.00
Last column: nearest neighbours and their distance in Å.
Space group P4/mmm (No. 123)
Inequivalent atoms, fractional coordinates:
1 Li 0.0000 0.0000 0.0000  4 I 2.61, 2 Te 2.71
2 Te 0.0000 0.0000 0.5000  2 Li 2.71
3 I 0.0000 0.5000 0.0000  2 Li 2.61
4 Cl 0.5000 0.5000 0.5000  4 Te 3.70, 8 I 3.77

Summary:
Calculated total energy (eV/atom): -1.951
Theoretical density (g/cm3): 4.75
M_tot (μB per formula unit): 0.000
Energy relative to the lowest polymorph listed for this composition (kJ per mole of atoms): 0.00
Calculated volume (Å³/cell): 148



5.
A plane-wave DFT calculation with PBE-GGA was carried out for a geometry-optimized LiTe2ICl structure.

Unit cell a=5.1732 b=5.1732 c=5.1886 alpha=90.00 beta=90.00 gamma=90.00
Last column: nearest neighbours and their distance in Å.
Space group P4/mmm (No. 123)
Inequivalent atoms, fractional coordinates:
1 Li 0.0000 0.0000 0.0000  4 Te 2.59, 2 I 2.59
2 Te 0.0000 0.5000 0.0000  2 Li 2.59
3 I 0.0000 0.0000 0.5000  2 Li 2.59
4 Cl 0.5000 0.5000 0.5000  4 I 3.66, 8 Te 3.66

Summary:
Calculated total energy (eV/atom): -2.200
Theoretical density (g/cm3): 5.08
M_tot (μB per formula unit): 0.000
Energy relative to the lowest polymorph listed for this composition (kJ per mole of atoms): 0.00
Calculated volume (Å³/cell): 139



6.
A plane-wave DFT calculation with PBE-GGA was carried out for a geometry-optimized LiTe2ICl structure.

Unit cell a=5.2328 b=5.2328 c=7.7861 alpha=90.00 beta=90.00 gamma=90.00
Last column: nearest neighbours and their distance in Å.
Space group P4/mmm (No. 123)
Inequivalent atoms, fractional coordinates:
1 Li 0.0000 0.0000 0.0000  4 I 3.70
2 Te 0.0000 0.5000 0.5000  2 Cl 2.62
3 I 0.5000 0.5000 0.0000  4 Li 3.70, 2 Cl 3.89
4 Cl 0.5000 0.5000 0.5000  4 Te 2.62

Summary:
Calculated total energy (eV/atom): -2.124
Theoretical density (g/cm3): 3.31
M_tot (μB per formula unit): 1.539
Energy relative to the lowest polymorph listed for this composition (kJ per mole of atoms): 7.41
Calculated volume (Å³/cell): 213



7.
A plane-wave DFT calculation with PBE-GGA was carried out for a geometry-optimized Li2TlICl2 structure.

Unit cell a=7.3190 b=6.1727 c=8.3158 alpha=90.00 beta=105.02 gamma=90.00
Last column: nearest neighbours and their distance in Å.
Space group P2_1/m (No. 11)
Inequivalent atoms, fractional coordinates:
1 Li 0.1293 0.0021 0.2085  2 Cl 2.30-2.31
2 Tl 0.3437 0.2500 0.6710  2 Cl 3.04-3.06
3 I 0.1960 0.7500 0.9427  4 Li 2.84-2.85
4 Cl 0.0848 0.7500 0.3977  2 Li 2.30
5 Cl 0.3687 0.2500 0.3099  2 Li 2.31

Summary:
Calculated total energy (eV/atom): -3.231
Theoretical density (g/cm3): 3.81
M_tot (μB per formula unit): 0.000
Calculated volume (Å³/cell): 363



8.
A plane-wave DFT calculation with PBE-GGA was carried out for a geometry-optimized Li2TlICl structure.

Unit cell a=5.8846 b=5.8846 c=5.8997 alpha=90.00 beta=90.00 gamma=90.00
Last column: nearest neighbours and their distance in Å.
Space group P4/mmm (No. 123)
Inequivalent atoms, fractional coordinates:
1 Li 0.0000 0.5000 0.0000  2 Tl 2.94
2 Tl 0.0000 0.0000 0.0000  4 Li 2.94, 2 I 2.95
3 I 0.0000 0.0000 0.5000  2 Tl 2.95
4 Cl 0.5000 0.5000 0.5000  4 I 4.16, 8 Li 4.17

Summary:
Calculated total energy (eV/atom): -2.013
Theoretical density (g/cm3): 3.09
M_tot (μB per formula unit): 1.019
Calculated volume (Å³/cell): 204



9.
A plane-wave DFT calculation with PBE-GGA was carried out for a geometry-optimized LiVICl2 structure.

Unit cell a=6.4985 b=6.4985 c=4.9804 alpha=90.00 beta=90.00 gamma=90.00
Last column: nearest neighbours and their distance in Å.
Space group P4/mmm (No. 123)
Inequivalent atoms, fractional coordinates:
1 Li 0.0000 0.0000 0.0000  8 Cl 4.09
2 V 0.5000 0.5000 0.0000  2 I 2.49
3 I 0.5000 0.5000 0.5000  2 V 2.49
4 Cl 0.0000 0.5000 0.5000  2 I 3.25

Summary:
Calculated total energy (eV/atom): -3.077
Theoretical density (g/cm3): 2.02
M_tot (μB per formula unit): 3.000
Calculated volume (Å³/cell): 210



10.
A plane-wave DFT calculation with PBE-GGA was carried out for a geometry-optimized LuICl structure.

Unit cell a=3.8663 b=3.8663 c=7.5654 alpha=90.00 beta=90.00 gamma=120.00
Last column: nearest neighbours and their distance in Å.
Space group P3m1 (No. 156)
Inequivalent atoms, fractional coordinates:
1 Lu 0.0000 0.0000 0.0000  3 Cl 2.72, 3 I 2.98
2 I 0.3333 0.6667 0.7393  3 Lu 2.98
3 Cl 0.6667 0.3333 0.2052  3 Lu 2.72

Summary:
Calculated total energy (eV/atom): -4.043
Theoretical density (g/cm3): 5.72
M_tot (μB per formula unit): 0.000
Calculated volume (Å³/cell): 98



11.
A plane-wave DFT calculation with PBE-GGA was carried out for a geometry-optimized MgI2Cl structure.

Unit cell a=7.6308 b=7.6308 c=7.6308 alpha=90.00 beta=90.00 gamma=90.00
Last column: nearest neighbours and their distance in Å.
Space group Fm-3m (No. 225)
Inequivalent atoms, fractional coordinates:
1 Mg 0.0000 0.0000 0.0000  8 I 3.30
2 I 0.2500 0.2500 0.2500  4 Cl 3.30, 4 Mg 3.30
3 Cl 0.0000 0.0000 0.5000  8 I 3.30

Summary:
Calculated total energy (eV/atom): -1.888
Theoretical density (g/cm3): 4.69
M_tot (μB per formula unit): 0.000
Energy relative to the lowest polymorph listed for this composition (kJ per mole of atoms): 22.05
Calculated volume (Å³/cell): 444



12.
A plane-wave DFT calculation with PBE-GGA was carried out for a geometry-optimized MgICl3 structure.

Unit cell a=5.0362 b=5.0362 c=5.0362 alpha=90.00 beta=90.00 gamma=90.00
Last column: nearest neighbours and their distance in Å.
Space group Pm-3m (No. 221)
Inequivalent atoms, fractional coordinates:
1 Mg 0.0000 0.0000 0.0000  6 Cl 2.52
2 I 0.5000 0.5000 0.5000  12 Cl 3.56
3 Cl 0.0000 0.0000 0.5000  2 Mg 2.52

Summary:
Calculated total energy (eV/atom): -2.538
Theoretical density (g/cm3): 3.35
M_tot (μB per formula unit): 2.000
Energy relative to the lowest polymorph listed for this composition (kJ per mole of atoms): 0.00
Calculated volume (Å³/cell): 128



13.
A plane-wave DFT calculation with PBE-GGA was carried out for a geometry-optimized MgICl6 structure.

Unit cell a=6.4718 b=6.5219 c=6.8894 alpha=62.66 beta=66.96 gamma=64.13
Last column: nearest neighbours and their distance in Å.
Space group P-1 (No. 2)
Inequivalent atoms, fractional coordinates:
1 Mg 0.0000 0.0000 0.0000  2 Cl 2.34
2 I 0.5000 0.5000 0.5000  4 Cl 2.50-2.53
3 Cl 0.0479 0.7836 0.7851  1 Mg 2.34
4 Cl 0.2670 0.5813 0.2368  1 I 2.53, 1 Mg 2.66
5 Cl 0.4060 0.1106 0.7379  1 I 2.50, 1 Mg 2.73

Summary:
Calculated total energy (eV/atom): -2.397
Theoretical density (g/cm3): 2.68
M_tot (μB per formula unit): 0.010
Calculated volume (Å³/cell): 226